Below is a relaxed structure of Fe2PdPt3, with properties calculated at the PBE level.

Computed properties:
energy above the most stable polymorph in this dataset = 61 meV/atom
ΔH_f (0 K) = -0.12 eV per atom
SG = No. 65

Structure (POSCAR):
```
Fe2PdPt3
1.0
4.597 0.000 0.000
0.000 5.587 0.000
-2.298 -2.794 6.938
Fe Pd Pt
4 2 6
Direct
0.342 0.342 0.683
0.658 0.158 0.317
0.342 0.842 0.683
0.658 0.658 0.317
0.000 0.500 0.000
0.000 0.000 0.000
0.500 0.250 0.000
0.500 0.750 0.000
0.817 0.067 0.635
0.183 0.433 0.365
0.183 0.933 0.365
0.817 0.567 0.635
```

***

Below is a relaxed structure of KRbSnPt, with properties calculated at the PBE level.

Computed properties:
ΔH_f (0 K) = -0.27 eV per atom
SG = No. 8

Structure (POSCAR):
```
KRbSnPt
1.0
-4.295 -1.451 -0.734
-2.332 -2.069 3.372
-3.392 8.603 2.917
K Rb Sn Pt
1 1 1 1
Direct
0.357 0.357 0.662
0.358 0.358 0.173
0.024 0.024 0.907
0.691 0.691 0.908
```

***

> Which of these has the highest ΔH_f (0 K)?

Fe2PdPt3

***

> What is the ΔH_f (0 K) in the first record?

-0.12 eV per atom

***

> Among the records above, which one has the highest ΔH_f (0 K)?

Fe2PdPt3

***

> Which of these has the highest ΔH_f (0 K)?

Fe2PdPt3